This record from the Alexandria database describes BiI3 at its PBEsol-relaxed geometry. The functional is SCAN.

Results
E_tot = -380.81 eV per cell
space group = P-31m
ΔE_f (raw) = -0.40 eV per atom

a b c (Å): 7.5326 7.5326 7.0437
angles (deg): 90.00 90.00 120.00
Last column: nearest neighbours and their distance in Å.
Element x y z (fractional)
I: 0.6615 0.6615 0.2556  2 Bi 3.07
I: 0.0000 0.3385 0.2556  2 Bi 3.07
I: 0.0000 0.6615 0.7444  2 Bi 3.07
I: 0.3385 0.0000 0.2556  2 Bi 3.07
I: 0.3385 0.3385 0.7444  2 Bi 3.07
I: 0.6615 0.0000 0.7444  2 Bi 3.07
Bi: 0.3333 0.6667 0.0000  6 I 3.07
Bi: 0.6667 0.3333 0.0000  6 I 3.07

=====

This record from the Alexandria database describes Ba2ZrRuC at its PBEsol-relaxed geometry. The functional is SCAN.

Results
E_tot = -149.48 eV per cell
E_form = 1.050 eV/atom
space group = P4/mmm

a b c (Å): 3.8252 6.0883 6.0883
angles (deg): 90.00 90.00 90.00
Last column: nearest neighbours and their distance in Å.
Element x y z (fractional)
Ru: 0.0000 0.0000 0.0000  2 C 1.91
C: 0.5000 0.0000 0.0000  2 Ru 1.91
Ba: 0.0000 0.0000 0.5000  2 Ru 3.04
Ba: 0.0000 0.5000 0.0000  2 Ru 3.04
Zr: 0.5000 0.5000 0.5000  8 Ba 3.60, 2 Zr 3.83

=====

This record from the Alexandria database describes PrPt3 at its PBEsol-relaxed geometry. The functional is SCAN.

Results
E_tot = -257.35 eV per cell
E_form = -0.861 eV/atom
space group = Pm-3m

a b c (Å): 4.1539 4.1539 4.1539
angles (deg): 90.00 90.00 90.00
Last column: nearest neighbours and their distance in Å.
Element x y z (fractional)
Pr: 0.0000 0.0000 0.0000  12 Pt 2.94
Pt: 0.0000 0.5000 0.5000  8 Pt 2.94, 4 Pr 2.94
Pt: 0.5000 0.5000 0.0000  8 Pt 2.94, 4 Pr 2.94
Pt: 0.5000 0.0000 0.5000  8 Pt 2.94, 4 Pr 2.94

=====

This record from the Alexandria database describes BaMnPt2 at its PBEsol-relaxed geometry. The functional is SCAN.

Results
E_tot = -199.46 eV per cell
E_form = -0.316 eV/atom
space group = Immm

a b c (Å): 4.1854 5.1727 5.1727
angles (deg): 67.60 66.14 66.14
Last column: nearest neighbours and their distance in Å.
Element x y z (fractional)
Ba: 0.5000 0.0000 0.0000  8 Pt 3.13-3.21
Mn: 0.0000 0.5000 0.5000  4 Pt 2.53
Pt: 0.3101 0.6899 0.6899  2 Mn 2.53
Pt: 0.6899 0.3101 0.3101  2 Mn 2.53

=====

This record from the Alexandria database describes SrY2Mg at its PBEsol-relaxed geometry. The functional is SCAN.

Results
E_tot = -82.29 eV per cell
E_form = 0.162 eV/atom
space group = Pmmm

a b c (Å): 4.0299 5.6315 5.6490
angles (deg): 90.00 90.00 90.00
Last column: nearest neighbours and their distance in Å.
Element x y z (fractional)
Mg: 0.5000 0.0000 0.5000  4 Sr 3.46, 4 Y 3.47
Sr: 0.0000 0.5000 0.5000  4 Mg 3.46, 4 Y 3.47
Y: 0.0000 0.0000 0.0000  4 Y 3.46, 4 Mg 3.47
Y: 0.5000 0.5000 0.0000  4 Y 3.46, 4 Sr 3.47

=====

This record from the Alexandria database describes Ba3PrIrRuO9 at its PBEsol-relaxed geometry. The functional is SCAN.

Results
E_tot = -718.94 eV per cell
space group = P6_3mc
ΔE_f (raw) = -2.37 eV per atom

a b c (Å): 5.9181 5.9181 14.8889
angles (deg): 90.00 90.00 120.00
Last column: nearest neighbours and their distance in Å.
Element x y z (fractional)
Ba: 0.0000 0.0000 0.2498  12 O 2.96-2.98
Ba: 0.0000 0.0000 0.7498  12 O 2.96-2.98
Ba: 0.3333 0.6667 0.8988  9 O 2.84-2.96
Ba: 0.6667 0.3333 0.1051  9 O 2.82-2.97
Ba: 0.6667 0.3333 0.3988  9 O 2.84-2.96
Ba: 0.3333 0.6667 0.6051  9 O 2.82-2.97
Pr: 0.0000 0.0000 0.0005  6 O 2.28-2.32
Pr: 0.0000 0.0000 0.5005  6 O 2.28-2.32
Ir: 0.3333 0.6667 0.1674  6 O 1.95-2.04
Ir: 0.6667 0.3333 0.6674  6 O 1.95-2.04
Ru: 0.6667 0.3333 0.8337  6 O 1.91-2.03
Ru: 0.3333 0.6667 0.3337  6 O 1.91-2.03
O: 0.4915 0.5085 0.2512  1 Ru 2.03, 1 Ir 2.04
O: 0.0171 0.5085 0.2512  1 Ru 2.03, 1 Ir 2.04
O: 0.4915 0.9829 0.2512  1 Ru 2.03, 1 Ir 2.04
O: 0.5085 0.4915 0.7512  1 Ru 2.03, 1 Ir 2.04
O: 0.9829 0.4915 0.7512  1 Ru 2.03, 1 Ir 2.04
O: 0.5085 0.0171 0.7512  1 Ru 2.03, 1 Ir 2.04
O: 0.1791 0.8209 0.4056  1 Ru 1.91
O: 0.6418 0.8209 0.4056  1 Ru 1.91
O: 0.1791 0.3582 0.4056  1 Ru 1.91
O: 0.8215 0.1785 0.5915  1 Ir 1.95
O: 0.3570 0.1785 0.5915  1 Ir 1.95
O: 0.8215 0.6430 0.5915  1 Ir 1.95
O: 0.8209 0.1791 0.9056  1 Ru 1.91
O: 0.3582 0.1791 0.9056  1 Ru 1.91
O: 0.8209 0.6418 0.9056  1 Ru 1.91
O: 0.1785 0.8215 0.0915  1 Ir 1.95
O: 0.6430 0.8215 0.0915  1 Ir 1.95
O: 0.1785 0.3570 0.0915  1 Ir 1.95

=====

This record from the Alexandria database describes Y2HgRu at its PBEsol-relaxed geometry. The functional is SCAN.

Results
E_tot = -160.80 eV per cell
E_form = -0.530 eV/atom
space group = P4/mmm

a b c (Å): 3.5367 4.9271 4.9279
angles (deg): 90.00 90.00 90.00
Last column: nearest neighbours and their distance in Å.
Element x y z (fractional)
Hg: 0.5000 0.3751 0.0000  8 Y 3.03
Ru: 0.5000 0.8746 0.5000  8 Y 3.03
Y: 0.0000 0.8751 0.0000  4 Hg 3.03, 4 Ru 3.03
Y: 0.0000 0.3751 0.5000  4 Ru 3.03, 4 Hg 3.03

=====

This record from the Alexandria database describes Mn2CuPb at its PBEsol-relaxed geometry. The functional is SCAN.

Results
E_tot = -127.16 eV per cell
E_form = 0.083 eV/atom
space group = P4mm

a b c (Å): 3.1544 3.1552 6.2838
angles (deg): 90.00 90.00 90.00
Last column: nearest neighbours and their distance in Å.
Element x y z (fractional)
Cu: 0.5002 0.5000 0.7979  5 Mn 2.50-2.58
Mn: 0.0001 0.0000 0.0036  4 Mn 2.53-2.54, 4 Cu 2.58
Mn: 0.4999 0.5000 0.1952  1 Cu 2.50, 4 Mn 2.53-2.54
Pb: 0.9998 0.0000 0.5034  4 Cu 2.90, 6 Mn 2.95-3.14, 4 Pb 3.15-3.16